(1)
A relaxed YRhCl2 crystal, computed with PBEsol.

Values from the calculation:
The energy relative to the elements, uncorrected is -843 meV per atom. The density of states at the Fermi level comes out at 0.4570 states/eV/atom. The total energy comes out at -0.4106 Ry per atom. The energy relative to the lowest polymorph listed for this composition is 198 meV per atom. The calculation puts the total magnetic moment at 0.00 μB per formula unit.

Lattice parameters (Å, degrees): 5.952 6.350 4.148 90.00 90.00 90.00
Space group Cmmm (No. 65)
Asymmetric unit:
Y  0.000  0.000  0.000 (multiplicity 2)
Rh  0.000  0.500  0.000 (multiplicity 2)
Cl  0.000  0.270  0.500 (multiplicity 4)


(2)
A relaxed YRhCl2 crystal, computed with PBEsol.

Values from the calculation:
The energy relative to the elements, uncorrected is -1041 meV per atom. The total energy comes out at -0.4252 Ry per atom. The energy relative to the lowest polymorph listed for this composition is 0 meV per atom. The calculation puts the total magnetic moment at 0.00 μB per formula unit.

Lattice parameters (Å, degrees): 9.993 3.486 5.160 90.00 98.77 90.00
Space group Cm (No. 8)
Asymmetric unit:
Y  0.000  0.000  0.000 (multiplicity 2)
Rh  0.148  0.500  0.281 (multiplicity 2)
Cl  0.001  0.500  0.581 (multiplicity 2)
Cl  0.280  0.000  0.005 (multiplicity 2)


(3)
A relaxed YRh2Cl crystal, computed with PBEsol.

Values from the calculation:
The energy relative to the elements, uncorrected is -220 meV per atom. The density of states at the Fermi level comes out at 1.4263 states/eV/atom. The total energy comes out at -0.4775 Ry per atom. The energy relative to the lowest polymorph listed for this composition is 237 meV per atom. The calculation puts the total magnetic moment at 0.08 μB per formula unit.

Lattice parameters (Å, degrees): 3.162 4.196 5.224 90.00 90.00 90.00
Space group Pmmm (No. 47)
Asymmetric unit:
Y  0.000  0.000  0.000 (multiplicity 1)
Rh  0.500  0.500  0.254 (multiplicity 2)
Cl  0.000  0.000  0.500 (multiplicity 1)


(4)
A relaxed YRhCl2 crystal, computed with PBEsol.

Values from the calculation:
The energy relative to the elements, uncorrected is -885 meV per atom. The density of states at the Fermi level comes out at 0.4225 states/eV/atom. The total energy comes out at -0.4138 Ry per atom. The energy relative to the lowest polymorph listed for this composition is 156 meV per atom. The calculation puts the total magnetic moment at 0.00 μB per formula unit.

Lattice parameters (Å, degrees): 5.975 6.199 8.465 90.00 90.00 90.00
Space group Fmmm (No. 69)
Asymmetric unit:
Y  0.000  0.000  0.000 (multiplicity 4)
Rh  0.000  0.000  0.500 (multiplicity 4)
Cl  0.000  0.250  0.250 (multiplicity 8)